Entry 1:
Below is TmInPt2 after structural relaxation, with properties calculated at the PBEsol level.

Output
E_form = -0.937 eV per atom
E = -6.39 eV per atom
Space-group type = No. 225
Total magnetization = 0.000 μB/cell

Cell lengths 4.6989, 4.6989, 4.6989 Å; angles 60.00, 60.00, 60.00 degrees
Closest atoms and distances in Å follow each position.
Atoms (fractional coordinates):
1 Pt 0.7500 0.7500 0.7500  4 In 2.88, 4 Tm 2.88
2 Pt 0.2500 0.2500 0.2500  4 In 2.88, 4 Tm 2.88
3 In 0.0000 0.0000 0.0000  8 Pt 2.88
4 Tm 0.5000 0.5000 0.5000  8 Pt 2.88

---

Entry 2:
Below is InPtW2 after structural relaxation, with properties calculated at the PBEsol level.

Output
E_form = 0.197 eV per atom
E = -9.19 eV per atom
Space-group type = No. 6
Total magnetization = 0.000 μB/cell

Cell lengths 2.7594, 4.3282, 5.5955 Å; angles 90.00, 98.69, 90.00 degrees
Closest atoms and distances in Å follow each position.
Atoms (fractional coordinates):
1 Pt 0.4504 0.5000 0.7610  2 In 2.62, 5 W 2.69-2.93, 2 Pt 2.76
2 In 0.3124 0.0000 0.4962  2 Pt 2.62, 2 In 2.76, 3 W 2.78-2.91
3 W 0.9930 0.0000 0.0002  4 W 2.70-2.76, 1 In 2.78, 4 Pt 2.85-2.93
4 W 0.7441 0.5000 0.2426  1 Pt 2.69, 4 W 2.70-2.76, 4 In 2.91-2.94

---

Question: Which formula does entry 2 have?
Answer: InPtW2

---

Question: Among the records above, which one has the highest E?
Answer: TmInPt2

---

Question: Which of these has the lowest E?
Answer: InPtW2

---

Question: Among the records above, which one has the lowest E?
Answer: InPtW2